# 1
VASP calculation (PBE) on a relaxed structure of KCa2NbOs.

Lattice parameters (Å, degrees): 4.9500 4.9500 4.8384 90.00 90.00 90.00
Element x y z (fractional)
K: 0.0000 0.0000 0.0000
Ca: 0.0000 0.5000 0.0000
Ca: 0.5000 0.0000 0.0000
Nb: 0.0000 0.0000 0.5000
Os: 0.5000 0.5000 0.5000

The calculation puts the energy of formation at 2.2635 eV/atom. The crystal system is tetragonal. The calculation puts the total energy at -3.017 eV per atom.



# 2
VASP calculation (PBE) on a relaxed structure of K2CaNbS4.

Lattice parameters (Å, degrees): 6.9646 6.9646 6.9646 116.37 116.37 96.42
Element x y z (fractional)
K: 0.0000 0.0000 0.0000
K: 0.7500 0.2500 0.5000
Ca: 0.5000 0.5000 0.0000
Nb: 0.2500 0.7500 0.5000
S: 0.1963 0.0917 0.5424
S: 0.3460 0.8037 0.8954
S: 0.5493 0.6540 0.4576
S: 0.9083 0.4507 0.1046

The formation energy (no corrections) is -1.2342 eV/atom. The crystal system is tetragonal. The calculation puts the total energy at -5.081 eV per atom.



# 3
VASP calculation (PBE) on a relaxed structure of KCaNbS4.

Lattice parameters (Å, degrees): 6.8218 6.9738 8.7883 90.00 106.97 90.00
Element x y z (fractional)
K: 0.2393 0.2500 0.4378
K: 0.7607 0.7500 0.5622
Ca: 0.2815 0.2500 0.9504
Ca: 0.7185 0.7500 0.0496
Nb: 0.2659 0.7500 0.1742
Nb: 0.7341 0.2500 0.8258
S: 0.0611 0.7500 0.3387
S: 0.0644 0.7500 0.9190
S: 0.4903 0.0047 0.2155
S: 0.4903 0.4953 0.2155
S: 0.5097 0.5047 0.7845
S: 0.5097 0.9953 0.7845
S: 0.9356 0.2500 0.0810
S: 0.9389 0.2500 0.6613

The formation energy (no corrections) is -1.3629 eV/atom. The crystal system is monoclinic. The calculation puts the total energy at -5.603 eV per atom.



# 4
VASP calculation (PBE) on a relaxed structure of KCa2NbSe.

Lattice parameters (Å, degrees): 5.8691 5.8691 5.3576 90.00 90.00 90.00
Element x y z (fractional)
K: 0.0000 0.0000 0.0000
Ca: 0.0000 0.5000 0.0000
Ca: 0.5000 0.0000 0.0000
Nb: 0.5000 0.5000 0.5000
Se: 0.0000 0.0000 0.5000

The formation energy (no corrections) is 1.1562 eV/atom. The crystal system is tetragonal. The calculation puts the total energy at -2.575 eV per atom.



# 5
VASP calculation (PBE) on a relaxed structure of K2CaNbTl.

Lattice parameters (Å, degrees): 6.9385 6.9385 5.7702 90.00 90.00 90.00
Element x y z (fractional)
K: 0.0000 0.5000 0.0000
K: 0.5000 0.0000 0.0000
Ca: 0.0000 0.0000 0.0000
Nb: 0.0000 0.0000 0.5000
Tl: 0.5000 0.5000 0.5000

The calculation puts the energy of formation at 1.2805 eV/atom. The crystal system is tetragonal. The calculation puts the total energy at -2.046 eV per atom.



# 6
VASP calculation (PBE) on a relaxed structure of KCaNbV2.

Lattice parameters (Å, degrees): 4.8265 4.8265 5.9781 90.00 90.00 90.00
Element x y z (fractional)
K: 0.0000 0.0000 0.0000
Ca: 0.5000 0.5000 0.0000
Nb: 0.5000 0.5000 0.5000
V: 0.0000 0.5000 0.5000
V: 0.5000 0.0000 0.5000

The calculation puts the energy of formation at 1.1845 eV/atom. The crystal system is tetragonal. The calculation puts the total energy at -5.097 eV per atom.



# 7
VASP calculation (PBE) on a relaxed structure of KCaNd.

Lattice parameters (Å, degrees): 6.5277 6.5277 3.5771 90.00 90.00 120.00
Element x y z (fractional)
K: 0.0000 0.0000 0.0000
Ca: 0.3333 0.6667 0.5000
Nd: 0.6667 0.3333 0.0000

The calculation puts the energy of formation at 0.3843 eV/atom. The crystal system is hexagonal. The calculation puts the total energy at -2.238 eV per atom.



# 8
VASP calculation (PBE) on a relaxed structure of KCa2Nd.

Lattice parameters (Å, degrees): 13.6951 13.6951 13.6951 16.26 16.26 16.26
Element x y z (fractional)
K: 0.0000 0.0000 0.0000
Ca: 0.2418 0.2418 0.2418
Ca: 0.7582 0.7582 0.7582
Nd: 0.5000 0.5000 0.5000

The calculation puts the energy of formation at 0.1426 eV/atom. The crystal system is trigonal. The calculation puts the total energy at -2.325 eV per atom.



# 9
VASP calculation (PBE) on a relaxed structure of KCa2Nd.

Lattice parameters (Å, degrees): 3.8436 3.8436 12.1654 90.00 90.00 90.00
Element x y z (fractional)
K: 0.0000 0.0000 0.0000
Ca: 0.5000 0.5000 0.2857
Ca: 0.5000 0.5000 0.7143
Nd: 0.0000 0.0000 0.5000

The calculation puts the energy of formation at 0.1359 eV/atom. The crystal system is tetragonal. The calculation puts the total energy at -2.331 eV per atom.



# 10
VASP calculation (PBE) on a relaxed structure of KCa3Nd2Te6.

Lattice parameters (Å, degrees): 10.1817 10.1817 9.2494 102.64 102.64 25.71
Element x y z (fractional)
K: 0.0000 0.0000 0.0000
Ca: 0.0000 0.0000 0.5000
Ca: 0.3379 0.3379 0.1645
Ca: 0.6621 0.6621 0.8355
Nd: 0.3350 0.3350 0.6659
Nd: 0.6650 0.6650 0.3341
Te: 0.1679 0.1679 0.5862
Te: 0.1746 0.1746 0.0911
Te: 0.4980 0.4980 0.7315
Te: 0.5020 0.5020 0.2685
Te: 0.8254 0.8254 0.9089
Te: 0.8320 0.8320 0.4138

The formation energy (no corrections) is -1.4924 eV/atom. The crystal system is monoclinic. The calculation puts the total energy at -4.450 eV per atom.



# 11
VASP calculation (PBE) on a relaxed structure of K2CaNi.

Lattice parameters (Å, degrees): 4.1011 3.9234 10.5145 90.00 100.94 90.00
Element x y z (fractional)
K: 0.0000 0.0000 0.0000
K: 0.3123 0.5000 0.6177
Ca: 0.6471 0.5000 0.2986
Ni: 0.1638 0.0000 0.3351

The calculation puts the energy of formation at 0.2363 eV/atom. The crystal system is monoclinic. The calculation puts the total energy at -2.258 eV per atom.



# 12
VASP calculation (PBE) on a relaxed structure of K2CaNi.

Lattice parameters (Å, degrees): 4.7562 4.7562 6.0376 90.00 90.00 90.00
Element x y z (fractional)
K: 0.0000 0.5000 0.0000
K: 0.5000 0.0000 0.0000
Ca: 0.0000 0.0000 0.5000
Ni: 0.5000 0.5000 0.5000

The calculation puts the energy of formation at 0.5415 eV/atom. The crystal system is tetragonal. The calculation puts the total energy at -1.953 eV per atom.



# 13
VASP calculation (PBE) on a relaxed structure of K2CaNi.

Lattice parameters (Å, degrees): 3.8284 3.8284 11.0469 90.00 90.00 90.00
Element x y z (fractional)
K: 0.0000 0.0000 0.1755
K: 0.0000 0.0000 0.8245
Ca: 0.5000 0.5000 0.5000
Ni: 0.5000 0.5000 0.0000

The calculation puts the energy of formation at 0.6079 eV/atom. The crystal system is tetragonal. The calculation puts the total energy at -1.887 eV per atom.



# 14
VASP calculation (PBE) on a relaxed structure of K2CaNi.

Lattice parameters (Å, degrees): 10.6919 10.6919 10.6919 159.89 156.72 30.95
Element x y z (fractional)
K: 0.1541 0.1541 0.0000
K: 0.8459 0.8459 0.0000
Ca: 0.5000 0.0000 0.5000
Ni: 0.0000 0.5000 0.5000

The calculation puts the energy of formation at 0.2563 eV/atom. The crystal system is orthorhombic. The calculation puts the total energy at -2.238 eV per atom.



# 15
VASP calculation (PBE) on a relaxed structure of K2Ca2Ni.

Lattice parameters (Å, degrees): 7.6069 7.6069 7.1626 90.00 90.00 90.00
Element x y z (fractional)
K: 0.1854 0.3146 0.0000
K: 0.3146 0.8146 0.0000
K: 0.6854 0.1854 0.0000
K: 0.8146 0.6854 0.0000
Ca: 0.1836 0.6836 0.5000
Ca: 0.3164 0.1836 0.5000
Ca: 0.6836 0.8164 0.5000
Ca: 0.8164 0.3164 0.5000
Ni: 0.0000 0.0000 0.5000
Ni: 0.5000 0.5000 0.5000

The calculation puts the energy of formation at 0.2549 eV/atom. The crystal system is tetragonal. The calculation puts the total energy at -2.141 eV per atom.



# 16
VASP calculation (PBE) on a relaxed structure of KCaNi3.

Lattice parameters (Å, degrees): 5.0074 5.0074 5.0074 90.00 90.00 90.00
Element x y z (fractional)
K: 0.0000 0.0000 0.0000
Ca: 0.5000 0.5000 0.5000
Ni: 0.0000 0.5000 0.5000
Ni: 0.5000 0.0000 0.5000
Ni: 0.5000 0.5000 0.0000

The calculation puts the energy of formation at 1.2306 eV/atom. The crystal system is cubic. The calculation puts the total energy at -2.858 eV per atom.



# 17
VASP calculation (PBE) on a relaxed structure of K2CaNi.

Lattice parameters (Å, degrees): 7.7817 7.7817 7.7817 151.19 132.45 56.55
Element x y z (fractional)
K: 0.0000 0.0000 0.0000
K: 0.6715 0.1715 0.5000
Ca: 0.3344 0.3344 0.0000
Ni: 0.1996 0.6996 0.5000

The calculation puts the energy of formation at 0.3754 eV/atom. The crystal system is orthorhombic. The calculation puts the total energy at -2.119 eV per atom.



# 18
VASP calculation (PBE) on a relaxed structure of K2CaNi.

Lattice parameters (Å, degrees): 6.9801 6.9801 6.9801 140.07 140.07 57.75
Element x y z (fractional)
K: 0.2500 0.7500 0.5000
K: 0.7500 0.2500 0.5000
Ca: 0.0000 0.0000 0.0000
Ni: 0.5000 0.5000 0.0000

The calculation puts the energy of formation at 0.5599 eV/atom. The crystal system is tetragonal. The calculation puts the total energy at -1.935 eV per atom.



# 19
VASP calculation (PBE) on a relaxed structure of K2CaNi.

Lattice parameters (Å, degrees): 3.8234 3.8234 10.9508 90.00 90.00 90.00
Element x y z (fractional)
K: 0.0000 0.0000 0.0000
K: 0.5000 0.5000 0.3742
Ca: 0.5000 0.5000 0.6922
Ni: 0.0000 0.0000 0.5970

The calculation puts the energy of formation at 0.2532 eV/atom. The crystal system is tetragonal. The calculation puts the total energy at -2.241 eV per atom.



# 20
VASP calculation (PBE) on a relaxed structure of K3CaNi.

Lattice parameters (Å, degrees): 6.2927 6.2927 6.2927 90.00 90.00 90.00
Element x y z (fractional)
K: 0.0000 0.0000 0.5000
K: 0.0000 0.5000 0.0000
K: 0.5000 0.0000 0.0000
Ca: 0.5000 0.5000 0.5000
Ni: 0.0000 0.0000 0.0000

The calculation puts the energy of formation at 0.5696 eV/atom. The crystal system is cubic. The calculation puts the total energy at -1.645 eV per atom.



# 21
VASP calculation (PBE) on a relaxed structure of KCaNi3.

Lattice parameters (Å, degrees): 4.7636 4.7636 4.7636 90.00 90.00 90.00
Element x y z (fractional)
K: 0.0000 0.0000 0.0000
Ca: 0.5000 0.5000 0.5000
Ni: 0.0000 0.0000 0.5000
Ni: 0.0000 0.5000 0.0000
Ni: 0.5000 0.0000 0.0000

The calculation puts the energy of formation at 1.4711 eV/atom. The crystal system is cubic. The calculation puts the total energy at -2.618 eV per atom.



# 22
VASP calculation (PBE) on a relaxed structure of KCa3Ni.

Lattice parameters (Å, degrees): 6.1908 6.1908 6.1908 90.00 90.00 90.00
Element x y z (fractional)
K: 0.0000 0.0000 0.0000
Ca: 0.0000 0.0000 0.5000
Ca: 0.0000 0.5000 0.0000
Ca: 0.5000 0.0000 0.0000
Ni: 0.5000 0.5000 0.5000

The calculation puts the energy of formation at 1.4321 eV/atom. The crystal system is cubic. The calculation puts the total energy at -1.145 eV per atom.



# 23
VASP calculation (PBE) on a relaxed structure of K2CaNi.

Lattice parameters (Å, degrees): 4.2736 4.2736 11.3942 102.62 102.62 61.06
Element x y z (fractional)
K: 0.0000 0.0000 0.0000
K: 0.2252 0.2252 0.6265
Ca: 0.4450 0.4450 0.3024
Ni: 0.7379 0.7379 0.1919

The calculation puts the energy of formation at 0.3052 eV/atom. The crystal system is monoclinic. The calculation puts the total energy at -2.189 eV per atom.



# 24
VASP calculation (PBE) on a relaxed structure of K2CaNi.

Lattice parameters (Å, degrees): 5.8909 5.8909 5.8909 60.00 60.00 60.00
Element x y z (fractional)
K: 0.2500 0.2500 0.2500
K: 0.7500 0.7500 0.7500
Ca: 0.0000 0.0000 0.0000
Ni: 0.5000 0.5000 0.5000

The calculation puts the energy of formation at 0.7044 eV/atom. The crystal system is cubic. The calculation puts the total energy at -1.790 eV per atom.



# 25
VASP calculation (PBE) on a relaxed structure of K2CaNi.

Lattice parameters (Å, degrees): 8.5452 8.5452 8.5452 95.71 95.71 143.23
Element x y z (fractional)
K: 0.3750 0.2451 0.3701
K: 0.7549 0.1250 0.1299
K: 0.8750 0.0049 0.6299
K: 0.9951 0.6250 0.8701
Ca: 0.2500 0.7500 0.5000
Ca: 0.5000 0.5000 0.0000
Ni: 0.0000 0.0000 0.0000
Ni: 0.7500 0.2500 0.5000

The calculation puts the energy of formation at 0.4730 eV/atom. The crystal system is tetragonal. The calculation puts the total energy at -2.021 eV per atom.



# 26
VASP calculation (PBE) on a relaxed structure of K2CaNi.

Lattice parameters (Å, degrees): 5.5532 4.7565 6.9098 90.00 111.46 90.00
Element x y z (fractional)
K: 0.1566 0.0000 0.3135
K: 0.8434 0.0000 0.6865
Ca: 0.5000 0.5000 0.0000
Ni: 0.0000 0.5000 0.0000

The calculation puts the energy of formation at 0.4540 eV/atom. The crystal system is monoclinic. The calculation puts the total energy at -2.040 eV per atom.



# 27
VASP calculation (PBE) on a relaxed structure of KCa3Ni.

Lattice parameters (Å, degrees): 5.7090 5.7090 5.7090 90.00 90.00 90.00
Element x y z (fractional)
K: 0.0000 0.0000 0.0000
Ca: 0.0000 0.5000 0.5000
Ca: 0.5000 0.0000 0.5000
Ca: 0.5000 0.5000 0.0000
Ni: 0.5000 0.5000 0.5000

The calculation puts the energy of formation at 0.0172 eV/atom. The crystal system is cubic. The calculation puts the total energy at -2.559 eV per atom.



# 28
VASP calculation (PBE) on a relaxed structure of K2Ca4Ni.

Lattice parameters (Å, degrees): 11.2511 11.2511 11.2511 150.93 150.93 41.58
Element x y z (fractional)
K: 0.1724 0.1724 0.0000
K: 0.8276 0.8276 0.0000
Ca: 0.0000 0.5000 0.5000
Ca: 0.3737 0.3737 0.0000
Ca: 0.5000 0.0000 0.5000
Ca: 0.6263 0.6263 0.0000
Ni: 0.5000 0.5000 0.0000

The calculation puts the energy of formation at 0.0986 eV/atom. The crystal system is tetragonal. The calculation puts the total energy at -2.185 eV per atom.